Version i
{
  "formula": "FeP3O9",
  "functional": "PBE with a Hubbard U",
  "state": "relaxed",
  "volume_a3_per_atom": 12.7,
  "dos_at_fermi_per_ev_atom": 0.000,
  "lattice_angstrom": [[7.047, 0.182, -0.354], [1.886, 7.164, -0.231], [0.336, 0.527, 6.568]],
  "species": ["P", "O", "O", "O", "O", "P", "O", "P", "O", "P", "Fe", "O", "O", "O", "O", "Fe", "O", "O", "P", "O", "O", "O", "O", "O", "P", "O"],
  "fractional_positions": [[0.517, 0.226, 0.649], [0.018, 0.217, 0.469], [0.288, 0.331, 0.643], [0.415, 0.846, 0.553], [0.043, 0.592, 0.213], [0.740, 0.446, 0.868], [0.338, 0.345, 0.113], [0.260, 0.554, 0.132], [0.585, 0.154, 0.447], [0.483, 0.774, 0.351], [0.406, 0.862, 0.853], [0.737, 0.320, 0.055], [0.982, 0.783, 0.531], [0.263, 0.680, 0.945], [0.438, 0.922, 0.170], [0.594, 0.138, 0.147], [0.830, 0.928, 0.175], [0.662, 0.655, 0.887], [0.898, 0.763, 0.334], [0.712, 0.669, 0.357], [0.957, 0.408, 0.787], [0.387, 0.609, 0.310], [0.170, 0.072, 0.825], [0.562, 0.078, 0.830], [0.102, 0.237, 0.666], [0.613, 0.391, 0.690]]
}

=====

Version ii
{
  "formula": "FeP3O9",
  "functional": "PBE with a Hubbard U",
  "state": "relaxed",
  "volume_a3_per_atom": 12.2,
  "dos_at_fermi_per_ev_atom": 0.000,
  "lattice_angstrom": [[8.520, 0.000, 0.000], [0.000, 8.591, 0.000], [0.000, 0.000, 8.652]],
  "species": ["O", "O", "O", "O", "O", "O", "O", "P", "Fe", "P", "O", "P", "O", "O", "O", "P", "Fe", "O", "P", "O", "O", "O", "O", "O", "O", "P", "O", "P", "P", "O", "P", "P", "O", "O", "P", "O", "P", "O", "O", "O", "O", "O", "O", "Fe", "O", "O", "O", "O", "O", "O", "Fe", "O"],
  "fractional_positions": [[0.722, 0.864, 0.948], [0.346, 0.838, 0.886], [0.090, 0.124, 0.919], [0.602, 0.125, 0.882], [0.401, 0.404, 0.818], [0.808, 0.417, 0.365], [0.778, 0.136, 0.448], [0.818, 0.014, 0.312], [0.632, 0.358, 0.852], [0.035, 0.677, 0.691], [0.898, 0.875, 0.382], [0.535, 0.823, 0.309], [0.458, 0.780, 0.146], [0.278, 0.364, 0.552], [0.137, 0.811, 0.641], [0.799, 0.692, 0.950], [0.868, 0.642, 0.352], [0.144, 0.533, 0.744], [0.701, 0.308, 0.450], [0.154, 0.162, 0.386], [0.856, 0.033, 0.756], [0.222, 0.636, 0.052], [0.901, 0.096, 0.182], [0.692, 0.583, 0.865], [0.590, 0.376, 0.081], [0.201, 0.192, 0.550], [0.958, 0.720, 0.854], [0.182, 0.514, 0.188], [0.682, 0.986, 0.812], [0.910, 0.624, 0.581], [0.965, 0.177, 0.809], [0.299, 0.808, 0.050], [0.599, 0.904, 0.682], [0.363, 0.189, 0.141], [0.318, 0.486, 0.688], [0.410, 0.876, 0.419], [0.465, 0.323, 0.191], [0.042, 0.220, 0.646], [0.644, 0.967, 0.256], [0.102, 0.375, 0.118], [0.192, 0.917, 0.135], [0.846, 0.662, 0.114], [0.542, 0.280, 0.354], [0.132, 0.142, 0.148], [0.863, 0.311, 0.859], [0.356, 0.467, 0.244], [0.654, 0.338, 0.614], [0.099, 0.596, 0.318], [0.637, 0.689, 0.359], [0.308, 0.083, 0.635], [0.368, 0.858, 0.648], [0.398, 0.625, 0.618]]
}

=====

Which of them is the least stable? Correct choice: version i.

=====

Version i
{
  "formula": "Fe3P2O8",
  "functional": "PBE with a Hubbard U",
  "state": "relaxed",
  "volume_a3_per_atom": 12.1,
  "dos_at_fermi_per_ev_atom": 0.000,
  "lattice_angstrom": [[-0.064, -0.227, -4.858], [-1.498, -5.930, 0.297], [-10.264, 2.518, 0.018]],
  "species": ["O", "O", "P", "O", "O", "O", "O", "O", "Fe", "O", "O", "O", "Fe", "P", "O", "O", "P", "Fe", "O", "Fe", "Fe", "P", "O", "O", "Fe", "O"],
  "fractional_positions": [[0.250, 0.280, 0.895], [0.826, 0.072, 0.317], [0.067, 0.737, 0.601], [0.750, 0.720, 0.605], [0.174, 0.928, 0.683], [0.250, 0.280, 0.395], [0.674, 0.072, 0.817], [0.820, 0.254, 0.536], [0.015, 0.236, 0.718], [0.713, 0.471, 0.838], [0.750, 0.720, 0.105], [0.213, 0.529, 0.662], [0.485, 0.236, 0.218], [0.933, 0.263, 0.399], [0.787, 0.471, 0.338], [0.287, 0.529, 0.162], [0.567, 0.263, 0.899], [0.000, 0.500, 0.000], [0.680, 0.254, 0.036], [0.985, 0.764, 0.282], [0.515, 0.764, 0.782], [0.433, 0.737, 0.101], [0.320, 0.746, 0.964], [0.326, 0.928, 0.183], [0.500, 0.500, 0.500], [0.180, 0.746, 0.464]]
}

=====

Version ii
{
  "formula": "Fe3P2O8",
  "functional": "PBE with a Hubbard U",
  "state": "relaxed",
  "volume_a3_per_atom": 12.1,
  "dos_at_fermi_per_ev_atom": 0.000,
  "lattice_angstrom": [[-3.101, 5.744, 9.206], [4.089, -3.311, 3.443], [7.306, 5.226, -0.801]],
  "species": ["O", "O", "P", "P", "O", "O", "O", "Fe", "O", "O", "O", "O", "O", "O", "P", "Fe", "O", "O", "O", "O", "P", "P", "Fe", "Fe", "Fe", "O", "O", "O", "O", "O", "O", "O", "O", "O", "O", "O", "O", "P", "P", "O", "Fe", "Fe", "Fe", "O", "O", "P", "O", "Fe", "O", "Fe", "Fe", "Fe"],
  "fractional_positions": [[0.913, 0.981, 0.722], [0.875, 0.365, 0.697], [0.087, 0.808, 0.399], [0.366, 0.886, 0.907], [0.776, 0.631, 0.222], [0.204, 0.392, 0.057], [0.559, 0.910, 0.135], [0.417, 0.836, 0.278], [0.704, 0.108, 0.943], [0.679, 0.675, 0.477], [0.413, 0.519, 0.278], [0.587, 0.481, 0.722], [0.724, 0.131, 0.222], [0.296, 0.892, 0.057], [0.413, 0.308, 0.399], [0.618, 0.621, 0.922], [0.125, 0.635, 0.303], [0.321, 0.325, 0.523], [0.087, 0.019, 0.278], [0.441, 0.090, 0.865], [0.634, 0.114, 0.093], [0.913, 0.192, 0.601], [0.194, 0.116, 0.641], [0.306, 0.616, 0.641], [0.118, 0.879, 0.078], [0.796, 0.608, 0.943], [0.438, 0.671, 0.928], [0.039, 0.237, 0.532], [0.821, 0.175, 0.477], [0.961, 0.763, 0.468], [0.179, 0.825, 0.523], [0.562, 0.329, 0.072], [0.461, 0.737, 0.532], [0.539, 0.263, 0.468], [0.062, 0.171, 0.928], [0.276, 0.869, 0.778], [0.941, 0.410, 0.135], [0.866, 0.614, 0.093], [0.587, 0.692, 0.601], [0.625, 0.865, 0.697], [0.083, 0.336, 0.278], [0.382, 0.379, 0.078], [0.917, 0.664, 0.722], [0.375, 0.135, 0.303], [0.938, 0.829, 0.072], [0.134, 0.386, 0.907], [0.059, 0.590, 0.865], [0.806, 0.884, 0.359], [0.224, 0.369, 0.778], [0.583, 0.164, 0.722], [0.882, 0.121, 0.922], [0.694, 0.384, 0.359]]
}

=====

Which of them is the least stable? Correct choice: version ii.

=====

Version i
{
  "formula": "FeP2PdO",
  "functional": "PBE with a Hubbard U",
  "state": "relaxed",
  "volume_a3_per_atom": 17.5,
  "dos_at_fermi_per_ev_atom": 0.728,
  "lattice_angstrom": [[4.787, 0.000, 0.000], [0.000, 4.787, 0.000], [0.000, 0.000, 3.808]],
  "species": ["Pd", "Fe", "P", "P", "O"],
  "fractional_positions": [[0.000, 0.000, 0.000], [0.500, 0.500, 0.500], [0.500, 0.000, 0.000], [0.000, 0.500, 0.000], [0.000, 0.000, 0.500]]
}

=====

Version ii
{
  "formula": "FeP2PdO",
  "functional": "PBE with a Hubbard U",
  "state": "relaxed",
  "volume_a3_per_atom": 15.5,
  "dos_at_fermi_per_ev_atom": 0.755,
  "lattice_angstrom": [[4.719, 0.000, 0.000], [0.000, 4.719, 0.000], [0.000, 0.000, 3.471]],
  "species": ["P", "P", "Pd", "Fe", "O"],
  "fractional_positions": [[0.500, 0.000, 0.000], [0.000, 0.500, 0.000], [0.500, 0.500, 0.500], [0.000, 0.000, 0.000], [0.000, 0.000, 0.500]]
}

=====

Which of them is the least stable? Correct choice: version i.